[1]
The following is a DFT calculation (GGA-PBE) of an optimized crystal structure of KTb2Dy3Te6.

Formation energy from raw total energies ... -1.3010 eV/atom
E_tot ... -117.25 eV/cell
Calculated volume ... 739.7 Å³/cell

Cell lengths 19.358, 4.376, 8.997 Å; angles 90.00, 103.94, 90.00 degrees
Space group C2/m (No. 12)
One atom of each set of equivalent atoms:
K  0.000  0.000  0.000 x2
Tb  0.170  0.500  0.346 x4
Dy  0.000  0.000  0.500 x2
Dy  0.161  0.500  0.821 x4
Te  0.003  0.500  0.266 x4
Te  0.165  0.000  0.585 x4
Te  0.175  0.000  0.086 x4

[2]
The following is a DFT calculation (GGA-PBE) of an optimized crystal structure of K3Tb3DyTe8.

Formation energy from raw total energies ... -1.3243 eV/atom
E_tot ... -200.35 eV/cell
Calculated volume ... 1716.2 Å³/cell

Cell lengths 8.8128, 8.8128, 25.5114 Å; angles 90.00, 90.00, 120.00 degrees
Space group R-3m (No. 166, hexagonal axes)
One atom of each set of equivalent atoms:
K  0.0000  0.5000  0.0000 x9
Tb  0.0000  0.5000  0.5000 x9
Dy  0.0000  0.0000  0.5000 x3
Te  0.0000  0.0000  0.2367 x6
Te  0.0012  0.5006  0.7638 x18

[3]
The following is a DFT calculation (GGA-PBE) of an optimized crystal structure of K2TbDyTe4.

Formation energy from raw total energies ... -1.3999 eV/atom
E_tot ... -35.19 eV/cell
Calculated volume ... 289.6 Å³/cell

Cell lengths 7.799, 4.505, 8.643 Å; angles 90.00, 107.51, 90.00 degrees
Space group P2/m (No. 10)
One atom of each set of equivalent atoms:
K  0.000  0.000  0.000 x1
K  0.500  0.500  0.000 x1
Tb  0.000  0.500  0.500 x1
Dy  0.500  0.000  0.500 x1
Te  0.237  0.000  0.709 x2
Te  0.265  0.500  0.291 x2

[4]
The following is a DFT calculation (GGA-PBE) of an optimized crystal structure of K3TbDy2Te6.

Formation energy from raw total energies ... -1.3991 eV/atom
E_tot ... -105.53 eV/cell
Calculated volume ... 867.6 Å³/cell

Cell lengths 7.794, 13.500, 8.645 Å; angles 90.00, 107.49, 90.00 degrees
Space group C2/m (No. 12)
One atom of each set of equivalent atoms:
K  0.000  0.000  0.000 x2
K  0.000  0.334  0.000 x4
Tb  0.000  0.500  0.500 x2
Dy  0.000  0.167  0.500 x4
Te  0.235  0.000  0.709 x4
Te  0.237  0.333  0.709 x8

[5]
The following is a DFT calculation (GGA-PBE) of an optimized crystal structure of K4Tb3DyTe8.

Formation energy from raw total energies ... -1.4015 eV/atom
E_tot ... -211.32 eV/cell
Calculated volume ... 1740.8 Å³/cell

Cell lengths 9.0143, 9.0143, 24.7389 Å; angles 90.00, 90.00, 120.00 degrees
Space group R-3m (No. 166, hexagonal axes)
One atom of each set of equivalent atoms:
K  0.0000  0.0000  0.0000 x3
K  0.0000  0.5000  0.0000 x9
Tb  0.0000  0.5000  0.5000 x9
Dy  0.0000  0.0000  0.5000 x3
Te  0.0000  0.0000  0.2364 x6
Te  0.0009  0.5005  0.2363 x18

[6]
The following is a DFT calculation (GGA-PBE) of an optimized crystal structure of KDy6Te8.

Formation energy from raw total energies ... -1.3310 eV/atom
E_tot ... -73.81 eV/cell
Calculated volume ... 523.6 Å³/cell

Cell lengths 11.6407, 11.6407, 4.4615 Å; angles 90.00, 90.00, 120.00 degrees
Space group P-3 (No. 147)
One atom of each set of equivalent atoms:
K  0.0000  0.0000  0.0000 x1
Dy  0.1359  0.6491  0.7506 x6
Te  0.0442  0.3482  0.7495 x6
Te  0.3333  0.6667  0.2505 x2

[7]
The following is a DFT calculation (GGA-PBE) of an optimized crystal structure of K2Dy3Te6.

Formation energy from raw total energies ... -1.2936 eV/atom
E_tot ... -98.16 eV/cell
Calculated volume ... 848.8 Å³/cell

Cell lengths 7.545, 13.065, 8.972 Å; angles 90.00, 106.28, 90.00 degrees
Space group C2/m (No. 12)
One atom of each set of equivalent atoms:
K  0.000  0.167  0.000 x4
Dy  0.000  0.000  0.500 x2
Dy  0.000  0.332  0.500 x4
Te  0.234  0.500  0.708 x4
Te  0.237  0.165  0.709 x8

[8]
The following is a DFT calculation (GGA-PBE) of an optimized crystal structure of K3Dy2ThTe6.

Formation energy from raw total energies ... -1.3166 eV/atom
E_tot ... -109.13 eV/cell
Calculated volume ... 869.0 Å³/cell

Cell lengths 7.769, 13.456, 8.706 Å; angles 90.00, 107.32, 90.00 degrees
Space group C2/m (No. 12)
One atom of each set of equivalent atoms:
K  0.000  0.000  0.000 x2
K  0.000  0.334  0.000 x4
Dy  0.000  0.167  0.500 x4
Th  0.000  0.500  0.500 x2
Te  0.233  0.000  0.713 x4
Te  0.240  0.331  0.713 x8

[9]
The following is a DFT calculation (GGA-PBE) of an optimized crystal structure of K3Dy3ThTe8.

Formation energy from raw total energies ... -1.3597 eV/atom
E_tot ... -210.14 eV/cell
Calculated volume ... 1741.5 Å³/cell

Cell lengths 8.9505, 8.9505, 25.1020 Å; angles 90.00, 90.00, 120.00 degrees
Space group R-3m (No. 166, hexagonal axes)
One atom of each set of equivalent atoms:
K  0.0000  0.5000  0.0000 x9
Dy  0.0000  0.5000  0.5000 x9
Th  0.0000  0.0000  0.5000 x3
Te  0.0000  0.0000  0.2357 x6
Te  0.0057  0.5028  0.7637 x18

[10]
The following is a DFT calculation (GGA-PBE) of an optimized crystal structure of K3DyTh2Te6.

Formation energy from raw total energies ... -1.2398 eV/atom
E_tot ... -112.92 eV/cell
Calculated volume ... 875.8 Å³/cell

Cell lengths 7.753, 13.431, 8.799 Å; angles 90.00, 107.08, 90.00 degrees
Space group C2/m (No. 12)
One atom of each set of equivalent atoms:
K  0.000  0.000  0.000 x2
K  0.000  0.332  0.000 x4
Dy  0.000  0.500  0.500 x2
Th  0.000  0.166  0.500 x4
Te  0.236  0.336  0.717 x8
Te  0.245  0.000  0.717 x4

[11]
The following is a DFT calculation (GGA-PBE) of an optimized crystal structure of K2DyThTe4.

Formation energy from raw total energies ... -1.2771 eV/atom
E_tot ... -37.00 eV/cell
Calculated volume ... 291.1 Å³/cell

Cell lengths 7.787, 4.474, 8.739 Å; angles 90.00, 107.04, 90.00 degrees
Space group P2/m (No. 10)
One atom of each set of equivalent atoms:
K  0.000  0.000  0.000 x1
K  0.500  0.500  0.000 x1
Dy  0.000  0.500  0.500 x1
Th  0.500  0.000  0.500 x1
Te  0.233  0.000  0.712 x2
Te  0.256  0.500  0.283 x2

[12]
The following is a DFT calculation (GGA-PBE) of an optimized crystal structure of K2DyTh2Te6.

Formation energy from raw total energies ... -1.2646 eV/atom
E_tot ... -108.79 eV/cell
Calculated volume ... 878.9 Å³/cell

Cell lengths 7.721, 13.361, 8.906 Å; angles 90.00, 106.95, 90.00 degrees
Space group C2/m (No. 12)
One atom of each set of equivalent atoms:
K  0.000  0.168  0.000 x4
Dy  0.000  0.000  0.500 x2
Th  0.000  0.333  0.500 x4
Te  0.238  0.163  0.713 x8
Te  0.241  0.500  0.712 x4

[13]
The following is a DFT calculation (GGA-PBE) of an optimized crystal structure of K3DyTh3Te8.

Formation energy from raw total energies ... -1.2385 eV/atom
E_tot ... -221.60 eV/cell
Calculated volume ... 1764.3 Å³/cell

Cell lengths 8.9129, 8.9129, 25.6488 Å; angles 90.00, 90.00, 120.00 degrees
Space group R-3m (No. 166, hexagonal axes)
One atom of each set of equivalent atoms:
K  0.0000  0.5000  0.0000 x9
Dy  0.0000  0.0000  0.5000 x3
Th  0.0000  0.5000  0.5000 x9
Te  0.0000  0.0000  0.2402 x6
Te  0.0033  0.5016  0.2374 x18

[14]
The following is a DFT calculation (GGA-PBE) of an optimized crystal structure of K3Dy2TiTe6.

Formation energy from raw total energies ... -1.1807 eV/atom
E_tot ... -106.82 eV/cell
Calculated volume ... 823.9 Å³/cell

Cell lengths 7.607, 13.181, 8.603 Å; angles 90.00, 107.23, 90.00 degrees
Space group C2/m (No. 12)
One atom of each set of equivalent atoms:
K  0.000  0.000  0.000 x2
K  0.000  0.327  0.000 x4
Dy  0.000  0.166  0.500 x4
Ti  0.000  0.500  0.500 x2
Te  0.225  0.342  0.702 x8
Te  0.246  0.500  0.297 x4

[15]
The following is a DFT calculation (GGA-PBE) of an optimized crystal structure of K3Dy3TmTe8.

Formation energy from raw total energies ... -1.3156 eV/atom
E_tot ... -199.31 eV/cell
Calculated volume ... 1699.2 Å³/cell

Cell lengths 8.7588, 8.7588, 25.5740 Å; angles 90.00, 90.00, 120.00 degrees
Space group R-3m (No. 166, hexagonal axes)
One atom of each set of equivalent atoms:
K  0.0000  0.5000  0.0000 x9
Dy  0.0000  0.5000  0.5000 x9
Tm  0.0000  0.0000  0.5000 x3
Te  0.0000  0.0000  0.2364 x6
Te  0.0009  0.5004  0.2356 x18

[16]
The following is a DFT calculation (GGA-PBE) of an optimized crystal structure of K3DyTm2Te6.

Formation energy from raw total energies ... -1.3799 eV/atom
E_tot ... -104.49 eV/cell
Calculated volume ... 853.9 Å³/cell

Cell lengths 7.736, 13.398, 8.632 Å; angles 90.00, 107.37, 90.00 degrees
Space group C2/m (No. 12)
One atom of each set of equivalent atoms:
K  0.000  0.000  0.000 x2
K  0.000  0.334  0.000 x4
Dy  0.000  0.500  0.500 x2
Tm  0.000  0.167  0.500 x4
Te  0.233  0.000  0.707 x4
Te  0.237  0.332  0.707 x8

[17]
The following is a DFT calculation (GGA-PBE) of an optimized crystal structure of K4DyTm3Te8.

Formation energy from raw total energies ... -1.3775 eV/atom
E_tot ... -208.74 eV/cell
Calculated volume ... 1704.9 Å³/cell

Cell lengths 8.9261, 8.9261, 24.7069 Å; angles 90.00, 90.00, 120.00 degrees
Space group R-3m (No. 166, hexagonal axes)
One atom of each set of equivalent atoms:
K  0.0000  0.0000  0.0000 x3
K  0.0000  0.5000  0.0000 x9
Dy  0.0000  0.0000  0.5000 x3
Tm  0.0000  0.5000  0.5000 x9
Te  0.0000  0.0000  0.2352 x6
Te  0.0024  0.5012  0.7644 x18

[18]
The following is a DFT calculation (GGA-PBE) of an optimized crystal structure of KDy2Tm3Te6.

Formation energy from raw total energies ... -1.2437 eV/atom
E_tot ... -114.98 eV/cell
Calculated volume ... 723.9 Å³/cell

Cell lengths 19.266, 4.331, 8.958 Å; angles 90.00, 104.41, 90.00 degrees
Space group C2/m (No. 12)
One atom of each set of equivalent atoms:
K  0.000  0.000  0.000 x2
Dy  0.172  0.500  0.349 x4
Tm  0.000  0.000  0.500 x2
Tm  0.161  0.500  0.823 x4
Te  0.003  0.500  0.269 x4
Te  0.164  0.000  0.588 x4
Te  0.175  0.000  0.085 x4

[19]
The following is a DFT calculation (GGA-PBE) of an optimized crystal structure of K2DyU2Te6.

Formation energy from raw total energies ... -0.9964 eV/atom
E_tot ... -118.37 eV/cell
Calculated volume ... 863.1 Å³/cell

Cell lengths 7.677, 13.311, 8.827 Å; angles 90.00, 106.88, 90.00 degrees
Space group C2/m (No. 12)
One atom of each set of equivalent atoms:
K  0.000  0.166  0.000 x4
Dy  0.000  0.000  0.500 x2
U  0.000  0.333  0.500 x4
Te  0.234  0.500  0.707 x4
Te  0.237  0.166  0.707 x8

[20]
The following is a DFT calculation (GGA-PBE) of an optimized crystal structure of K4Dy3UTe8.

Formation energy from raw total energies ... -1.2485 eV/atom
E_tot ... -223.78 eV/cell
Calculated volume ... 1741.0 Å³/cell

Cell lengths 9.0132, 9.0132, 24.7462 Å; angles 90.00, 90.00, 120.00 degrees
Space group R-3m (No. 166, hexagonal axes)
One atom of each set of equivalent atoms:
K  0.0000  0.0000  0.0000 x3
K  0.0000  0.5000  0.0000 x9
Dy  0.0000  0.5000  0.5000 x9
U  0.0000  0.0000  0.5000 x3
Te  0.0000  0.0000  0.2361 x6
Te  0.0034  0.5017  0.7634 x18